Record 1
Below is a geometry-optimized Lu2TlNi structure, with properties calculated at the GGA-PBE level.

a = 3.3990 Å, b = 3.3990 Å, c = 7.6427 Å
α = 90.00°, β = 90.00°, γ = 90.00°
Sites, in units of the cell vectors:
Lu 0.0000 0.0000 0.2074
Lu 0.0000 0.0000 0.7926
Tl 0.5000 0.5000 0.5000
Ni 0.5000 0.5000 0.0000

Properties
VASP energy (eV for the cell shown): -18.7
Space group: P4/mmm, No. 123
Energy of formation from the pure elements (eV/f.u.): -1.6
Magnetization (μB/f.u.): 0.000


Record 2
Below is a geometry-optimized Lu3TlNi structure, with properties calculated at the GGA-PBE level.

a = 5.0985 Å, b = 5.0985 Å, c = 5.0985 Å
α = 90.00°, β = 90.00°, γ = 90.00°
Sites, in units of the cell vectors:
Lu 0.0000 0.0000 0.5000
Lu 0.0000 0.5000 0.0000
Lu 0.5000 0.0000 0.0000
Tl 0.5000 0.5000 0.5000
Ni 0.0000 0.0000 0.0000

Properties
VASP energy (eV for the cell shown): -22.6
Space group: Pm-3m, No. 221
Energy of formation from the pure elements (eV/f.u.): -0.9
Magnetization (μB/f.u.): 0.000


Record 3
Below is a geometry-optimized TmLuNi structure, with properties calculated at the GGA-PBE level.

a = 4.6548 Å, b = 4.6548 Å, c = 4.6548 Å
α = 60.00°, β = 60.00°, γ = 60.00°
Sites, in units of the cell vectors:
Tm 0.0000 0.0000 0.0000
Lu 0.5000 0.5000 0.5000
Ni 0.2500 0.2500 0.2500

Properties
VASP energy (eV for the cell shown): -15.4
Space group: F-43m, No. 216
Energy of formation from the pure elements (eV/f.u.): -0.6
Magnetization (μB/f.u.): 0.000


Record 4
Below is a geometry-optimized TmLuNi2 structure, with properties calculated at the GGA-PBE level.

a = 4.7068 Å, b = 4.7068 Å, c = 3.2777 Å
α = 90.00°, β = 90.00°, γ = 90.00°
Sites, in units of the cell vectors:
Tm 0.0000 0.0000 0.0000
Lu 0.5000 0.5000 0.0000
Ni 0.0000 0.5000 0.5000
Ni 0.5000 0.0000 0.5000

Properties
VASP energy (eV for the cell shown): -22.4
Space group: P4/mmm, No. 123
Energy of formation from the pure elements (eV/f.u.): -1.9
Magnetization (μB/f.u.): 0.000


Record 5
Below is a geometry-optimized Tm3LuNi structure, with properties calculated at the GGA-PBE level.

a = 5.2179 Å, b = 5.2179 Å, c = 5.2179 Å
α = 90.00°, β = 90.00°, γ = 90.00°
Sites, in units of the cell vectors:
Tm 0.0000 0.0000 0.5000
Tm 0.0000 0.5000 0.0000
Tm 0.5000 0.0000 0.0000
Lu 0.5000 0.5000 0.5000
Ni 0.0000 0.0000 0.0000

Properties
VASP energy (eV for the cell shown): -23.9
Space group: Pm-3m, No. 221
Energy of formation from the pure elements (eV/f.u.): -0.2
Magnetization (μB/f.u.): 0.001


Record 6
Below is a geometry-optimized TmLuNi2 structure, with properties calculated at the GGA-PBE level.

a = 4.6884 Å, b = 4.6884 Å, c = 4.6884 Å
α = 60.00°, β = 60.00°, γ = 60.00°
Sites, in units of the cell vectors:
Tm 0.0000 0.0000 0.0000
Lu 0.5000 0.5000 0.5000
Ni 0.2500 0.2500 0.2500
Ni 0.7500 0.7500 0.7500

Properties
VASP energy (eV for the cell shown): -22.4
Space group: Fm-3m, No. 225
Energy of formation from the pure elements (eV/f.u.): -1.9
Magnetization (μB/f.u.): 0.000


Record 7
Below is a geometry-optimized TmLu2Ni structure, with properties calculated at the GGA-PBE level.

a = 3.3651 Å, b = 3.3651 Å, c = 8.4694 Å
α = 90.00°, β = 90.00°, γ = 90.00°
Sites, in units of the cell vectors:
Tm 0.0000 0.0000 0.0000
Lu 0.5000 0.5000 0.3124
Lu 0.5000 0.5000 0.6876
Ni 0.0000 0.0000 0.5000

Properties
VASP energy (eV for the cell shown): -20.1
Space group: P4/mmm, No. 123
Energy of formation from the pure elements (eV/f.u.): -0.8
Magnetization (μB/f.u.): 0.000


Record 8
Below is a geometry-optimized TmLuNi4 structure, with properties calculated at the GGA-PBE level.

a = 5.0136 Å, b = 5.0136 Å, c = 5.0136 Å
α = 60.00°, β = 60.00°, γ = 60.00°
Sites, in units of the cell vectors:
Tm 0.0000 0.0000 0.0000
Lu 0.7500 0.7500 0.7500
Ni 0.3751 0.3751 0.3751
Ni 0.3751 0.3751 0.8746
Ni 0.3751 0.8746 0.3751
Ni 0.8746 0.3751 0.3751

Properties
VASP energy (eV for the cell shown): -35.2
Space group: F-43m, No. 216
Energy of formation from the pure elements (eV/f.u.): -3.0
Magnetization (μB/f.u.): 0.000


Record 9
Below is a geometry-optimized TmLu2Ni structure, with properties calculated at the GGA-PBE level.

a = 9.4048 Å, b = 9.4048 Å, c = 9.4048 Å
α = 22.13°, β = 22.13°, γ = 22.13°
Sites, in units of the cell vectors:
Tm 0.0000 0.0000 0.0000
Lu 0.2269 0.2269 0.2269
Lu 0.7731 0.7731 0.7731
Ni 0.5000 0.5000 0.5000

Properties
VASP energy (eV for the cell shown): -19.7
Space group: R-3m, No. 166
Energy of formation from the pure elements (eV/f.u.): -0.4
Magnetization (μB/f.u.): 0.000


Record 10
Below is a geometry-optimized TmLuNi structure, with properties calculated at the GGA-PBE level.

a = 6.5178 Å, b = 6.5178 Å, c = 6.5178 Å
α = 150.33°, β = 150.33°, γ = 42.45°
Sites, in units of the cell vectors:
Tm 0.0000 0.0000 0.0000
Lu 0.7360 0.7360 0.0000
Ni 0.3660 0.3660 0.0000

Properties
VASP energy (eV for the cell shown): -15.7
Space group: I4mm, No. 107
Energy of formation from the pure elements (eV/f.u.): -0.9
Magnetization (μB/f.u.): 0.000


Record 11
Below is a geometry-optimized YLuNi2 structure, with properties calculated at the GGA-PBE level.

a = 4.7600 Å, b = 4.7600 Å, c = 3.3037 Å
α = 90.00°, β = 90.00°, γ = 90.00°
Sites, in units of the cell vectors:
Y 0.0000 0.0000 0.0000
Lu 0.5000 0.5000 0.0000
Ni 0.0000 0.5000 0.5000
Ni 0.5000 0.0000 0.5000

Properties
VASP energy (eV for the cell shown): -24.2
Space group: P4/mmm, No. 123
Energy of formation from the pure elements (eV/f.u.): -1.7
Magnetization (μB/f.u.): 0.000


Record 12
Below is a geometry-optimized YLuNi2 structure, with properties calculated at the GGA-PBE level.

a = 4.7380 Å, b = 4.7380 Å, c = 4.7380 Å
α = 60.00°, β = 60.00°, γ = 60.00°
Sites, in units of the cell vectors:
Y 0.0000 0.0000 0.0000
Lu 0.5000 0.5000 0.5000
Ni 0.2500 0.2500 0.2500
Ni 0.7500 0.7500 0.7500

Properties
VASP energy (eV for the cell shown): -24.2
Space group: Fm-3m, No. 225
Energy of formation from the pure elements (eV/f.u.): -1.7
Magnetization (μB/f.u.): 0.000